DFT (PBE+U) results for a relaxed structure of VP5O15.

a = 5.212 Å, b = 13.711 Å, c = 9.064 Å
α = 90.00°, β = 102.00°, γ = 90.00°
Space group P2_1/m (No. 11)
Inequivalent atoms, fractional coordinates:
V  0.000  0.000  0.000 [2 per cell]
P  0.023  0.250  0.505 [2 per cell]
P  0.163  0.074  0.691 [4 per cell]
P  0.497  0.140  0.980 [4 per cell]
O  0.003  0.531  0.201 [4 per cell]
O  0.022  0.661  0.388 [4 per cell]
O  0.176  0.750  0.643 [2 per cell]
O  0.212  0.621  0.984 [4 per cell]
O  0.276  0.010  0.593 [4 per cell]
O  0.289  0.250  0.463 [2 per cell]
O  0.329  0.076  0.058 [4 per cell]
O  0.391  0.139  0.803 [4 per cell]
O  0.449  0.250  0.027 [2 per cell]

## Properties
crystal system = monoclinic
DFT total energy = -7.108 eV per atom